1.
Computed, not measured: a relaxed structure of NbNi3Ge at the GGA-PBE level of DFT.

Cell: 8.664 8.664 8.664 Å, 149.80 149.80 43.23°
Element x y z (fractional)
1 Nb 0.157 0.157 0.000
2 Nb 0.843 0.843 0.000
3 Ni 0.375 0.131 0.756
4 Ni 0.375 0.619 0.244
5 Ni 0.381 0.625 0.756
6 Ni 0.573 0.073 0.500
7 Ni 0.869 0.625 0.244
8 Ni 0.927 0.427 0.500
9 Ge 0.250 0.750 0.500
10 Ge 0.500 0.500 0.000

Electronic total energy = -61.56 eV for the cell shown
Excess energy over the best structure of this formula in the dataset = 0.0 meV/atom
Energy of formation from the pure elements = 0.250 eV/atom



2.
Computed, not measured: a relaxed structure of Nb3NiGe at the GGA-PBE level of DFT.

Cell: 4.601 4.601 4.601 Å, 90.00 90.00 90.00°
Element x y z (fractional)
1 Nb 0.000 0.000 0.500
2 Nb 0.000 0.500 0.000
3 Nb 0.500 0.000 0.000
4 Ni 0.000 0.000 0.000
5 Ge 0.500 0.500 0.500

Electronic total energy = -37.17 eV for the cell shown
Excess energy over the best structure of this formula in the dataset = 0.0 meV/atom
Energy of formation from the pure elements = 0.687 eV/atom



3.
Computed, not measured: a relaxed structure of Nb9Ni4Ge at the GGA-PBE level of DFT.

Cell: 9.707 9.707 9.707 Å, 93.90 93.90 149.75°
Element x y z (fractional)
1 Nb 0.069 0.707 0.776
2 Nb 0.086 0.164 0.250
3 Nb 0.164 0.914 0.078
4 Nb 0.207 0.569 0.776
5 Nb 0.250 0.750 0.500
6 Nb 0.293 0.069 0.362
7 Nb 0.336 0.414 0.750
8 Nb 0.414 0.664 0.078
9 Nb 0.431 0.207 0.638
10 Nb 0.569 0.793 0.362
11 Nb 0.586 0.336 0.922
12 Nb 0.664 0.586 0.250
13 Nb 0.707 0.931 0.638
14 Nb 0.750 0.250 0.500
15 Nb 0.793 0.431 0.224
16 Nb 0.836 0.086 0.922
17 Nb 0.914 0.836 0.750
18 Nb 0.931 0.293 0.224
19 Ni 0.000 0.000 0.500
20 Ni 0.000 0.500 0.000
21 Ni 0.130 0.370 0.500
22 Ni 0.370 0.870 0.239
23 Ni 0.500 0.000 0.000
24 Ni 0.500 0.500 0.500
25 Ni 0.630 0.130 0.761
26 Ni 0.870 0.630 0.500
27 Ge 0.250 0.250 0.000
28 Ge 0.750 0.750 0.000

Electronic total energy = -243.20 eV for the cell shown
Energy of formation from the pure elements = -0.231 eV/atom



4.
Computed, not measured: a relaxed structure of NbNi3Ge at the GGA-PBE level of DFT.

Cell: 4.565 4.565 4.565 Å, 90.00 90.00 90.00°
Element x y z (fractional)
1 Nb 0.000 0.000 0.000
2 Ni 0.000 0.000 0.500
3 Ni 0.000 0.500 0.000
4 Ni 0.500 0.000 0.000
5 Ge 0.500 0.500 0.500

Electronic total energy = -25.84 eV for the cell shown
Excess energy over the best structure of this formula in the dataset = 988.4 meV/atom
Energy of formation from the pure elements = 1.238 eV/atom



5.
Computed, not measured: a relaxed structure of NbNiGe3 at the GGA-PBE level of DFT.

Cell: 4.522 4.522 4.522 Å, 90.00 90.00 90.00°
Element x y z (fractional)
1 Nb 0.000 0.000 0.000
2 Ni 0.500 0.500 0.500
3 Ge 0.000 0.500 0.500
4 Ge 0.500 0.000 0.500
5 Ge 0.500 0.500 0.000

Electronic total energy = -26.57 eV for the cell shown
Energy of formation from the pure elements = 0.626 eV/atom



6.
Computed, not measured: a relaxed structure of NbNi3Ge at the GGA-PBE level of DFT.

Cell: 4.259 4.259 4.259 Å, 90.00 90.00 90.00°
Element x y z (fractional)
1 Nb 0.000 0.000 0.000
2 Ni 0.000 0.500 0.500
3 Ni 0.500 0.000 0.500
4 Ni 0.500 0.500 0.000
5 Ge 0.500 0.500 0.500

Electronic total energy = -29.06 eV for the cell shown
Excess energy over the best structure of this formula in the dataset = 343.7 meV/atom
Energy of formation from the pure elements = 0.594 eV/atom



7.
Computed, not measured: a relaxed structure of NbNi4Ge2 at the GGA-PBE level of DFT.

Cell: 6.943 6.943 3.797 Å, 90.00 90.00 90.00°
Element x y z (fractional)
1 Nb 0.000 0.000 0.000
2 Nb 0.500 0.500 0.500
3 Ni 0.097 0.350 0.500
4 Ni 0.150 0.597 0.000
5 Ni 0.350 0.097 0.500
6 Ni 0.403 0.850 0.000
7 Ni 0.597 0.150 0.000
8 Ni 0.650 0.903 0.500
9 Ni 0.850 0.403 0.000
10 Ni 0.903 0.650 0.500
11 Ge 0.212 0.788 0.500
12 Ge 0.288 0.288 0.000
13 Ge 0.712 0.712 0.000
14 Ge 0.788 0.212 0.500

Electronic total energy = -88.99 eV for the cell shown
Energy of formation from the pure elements = -0.295 eV/atom



8.
Computed, not measured: a relaxed structure of Nb4Ni5Ge6 at the GGA-PBE level of DFT.

Cell: 8.988 8.988 13.694 Å, 90.00 90.00 155.76°
Element x y z (fractional)
1 Nb 0.014 0.986 0.500
2 Nb 0.036 0.964 0.773
3 Nb 0.164 0.836 0.302
4 Nb 0.184 0.816 0.936
5 Nb 0.816 0.184 0.436
6 Nb 0.836 0.164 0.802
7 Nb 0.964 0.036 0.273
8 Nb 0.986 0.014 0.000
9 Ni 0.147 0.853 0.627
10 Ni 0.305 0.695 0.613
11 Ni 0.343 0.657 0.272
12 Ni 0.359 0.641 0.980
13 Ni 0.441 0.559 0.681
14 Ni 0.559 0.441 0.181
15 Ni 0.641 0.359 0.480
16 Ni 0.657 0.343 0.772
17 Ni 0.695 0.305 0.113
18 Ni 0.853 0.147 0.127
19 Ge 0.115 0.885 0.110
20 Ge 0.218 0.782 0.485
21 Ge 0.234 0.766 0.755
22 Ge 0.422 0.578 0.417
23 Ge 0.431 0.569 0.131
24 Ge 0.442 0.558 0.851
25 Ge 0.558 0.442 0.351
26 Ge 0.569 0.431 0.631
27 Ge 0.578 0.422 0.917
28 Ge 0.766 0.234 0.255
29 Ge 0.782 0.218 0.985
30 Ge 0.885 0.115 0.610

Electronic total energy = -203.03 eV for the cell shown
Energy of formation from the pure elements = -0.308 eV/atom